# 1
This record from Alexandria via LeMat-Bulk describes a geometry-optimized BeHF3 structure. The functional is GGA-PBE.

E_tot   -19.94 eV for the cell shown
Distance to the lowest polymorph of the same formula   4.39 eV/f.u.

CIF file:
```
data_BeHF3
_chemical_formula_sum 'Be1 H1 F3'
_cell_length_a 3.4447
_cell_length_b 3.4447
_cell_length_c 3.4447
_cell_angle_alpha 90.00
_cell_angle_beta 90.00
_cell_angle_gamma 90.00
_space_group_name_H-M_alt 'P 1'
_space_group_IT_number 1
_space_group_name_Hall 'P 1'
loop_
_atom_site_label
_atom_site_fract_x
_atom_site_fract_y
_atom_site_fract_z
Be1 0.0000 0.0000 0.0000
H1 0.5000 0.5000 0.5000
F1 0.0000 0.5000 0.0000
F2 0.0000 0.0000 0.5000
F3 0.5000 0.0000 0.0000
```

# 2
This record from Alexandria via LeMat-Bulk describes a geometry-optimized MgInCuF6 structure. The functional is GGA-PBE.

E_tot   -83.79 eV for the cell shown

CIF file:
```
data_MgInCuF6
_chemical_formula_sum 'Mg2 In2 Cu2 F12'
_cell_length_a 4.9180
_cell_length_b 4.9180
_cell_length_c 9.8737
_cell_angle_alpha 90.00
_cell_angle_beta 90.00
_cell_angle_gamma 90.00
_space_group_name_H-M_alt 'P 1'
_space_group_IT_number 1
_space_group_name_Hall 'P 1'
loop_
_atom_site_label
_atom_site_fract_x
_atom_site_fract_y
_atom_site_fract_z
Mg1 0.5000 0.5000 0.1672
Mg2 0.0000 0.0000 0.6672
In1 0.5000 0.5000 0.8322
In2 0.0000 0.0000 0.3322
Cu1 0.5000 0.5000 0.5004
Cu2 0.0000 0.0000 0.0004
F1 0.1878 0.8122 0.5056
F2 0.8122 0.1878 0.5056
F3 0.3122 0.3122 0.0056
F4 0.6878 0.6878 0.0056
F5 0.2117 0.7883 0.1765
F6 0.7883 0.2117 0.1765
F7 0.2883 0.2883 0.6765
F8 0.7117 0.7117 0.6765
F9 0.8033 0.1967 0.8180
F10 0.1967 0.8033 0.8180
F11 0.6967 0.6967 0.3180
F12 0.3033 0.3033 0.3180
```